[1]
VASP calculation (PBE-GGA) on a relaxed structure of KCo2As.

abc: 3.1290 3.1290 7.5881
angles: 90.00 90.00 90.00
Closest atoms and distances in Å follow each position.
Atoms (fractional coordinates):
K1 0.0000 0.0000 0.0000  4 K 3.13, 4 As 3.41, 4 Co 3.46
Co1 0.0000 0.0000 0.5178  4 Co 2.43, 4 As 2.58
Co2 0.5000 0.5000 0.6494  1 As 2.33, 4 Co 2.43
As1 0.5000 0.5000 0.3427  5 Co 2.33-2.58

Computed properties:
- ΔH_f (0 K): 0.2821 eV/atom

---

[2]
VASP calculation (PBE-GGA) on a relaxed structure of CaTaNbTc2.

abc: 4.8560 4.8560 4.9482
angles: 90.00 90.00 90.00
Closest atoms and distances in Å follow each position.
Atoms (fractional coordinates):
Ca1 0.0000 0.0000 0.0000  4 Nb 3.43, 8 Tc 3.47
Ta1 0.5000 0.5000 0.5000  4 Tc 2.43, 2 Nb 2.47
Nb1 0.5000 0.5000 0.0000  2 Ta 2.47
Tc1 0.0000 0.5000 0.5000  2 Ta 2.43
Tc2 0.5000 0.0000 0.5000  2 Ta 2.43

Computed properties:
- ΔH_f (0 K): 1.1437 eV/atom

---

[3]
VASP calculation (PBE-GGA) on a relaxed structure of K2RbTb.

abc: 16.2649 16.2649 16.2649
angles: 14.03 14.03 14.03
Closest atoms and distances in Å follow each position.
Atoms (fractional coordinates):
K1 0.0779 0.0779 0.0779  1 Tb 3.76, 6 K 3.97
K2 0.9221 0.9221 0.9221  1 Tb 3.76, 6 K 3.97
Rb1 0.5000 0.5000 0.5000  6 Rb 3.97
Tb1 0.0000 0.0000 0.0000  2 K 3.76, 6 Tb 3.97

Computed properties:
- ΔH_f (0 K): 0.4602 eV/atom

---

[4]
VASP calculation (PBE-GGA) on a relaxed structure of BaHg2Ru.

abc: 3.6119 3.6119 7.6185
angles: 90.00 90.00 90.00
Closest atoms and distances in Å follow each position.
Atoms (fractional coordinates):
Ba1 0.0000 0.0000 0.0000  8 Hg 3.48, 4 Ba 3.61, 2 Ru 3.81
Hg1 0.5000 0.5000 0.3102  1 Hg 2.89, 4 Ru 2.94
Hg2 0.5000 0.5000 0.6898  1 Hg 2.89, 4 Ru 2.94
Ru1 0.0000 0.0000 0.5000  8 Hg 2.94

Computed properties:
- ΔH_f (0 K): 0.2652 eV/atom

---

[5]
VASP calculation (PBE-GGA) on a relaxed structure of Ac2TlPdO5.

abc: 7.2908 7.2908 5.9196
angles: 90.00 90.00 90.00
Closest atoms and distances in Å follow each position.
Atoms (fractional coordinates):
Ac1 0.1788 0.3212 0.0000  8 O 2.46-2.72
Ac2 0.3212 0.8212 0.0000  8 O 2.46-2.72
Ac3 0.6788 0.1788 0.0000  8 O 2.46-2.72
Ac4 0.8212 0.6788 0.0000  8 O 2.46-2.72
Tl1 0.0000 0.0000 0.5000  10 O 2.96-3.22
Tl2 0.5000 0.5000 0.5000  10 O 2.96-3.22
Pd1 0.0000 0.5000 0.5000  4 O 2.00
Pd2 0.5000 0.0000 0.5000  4 O 2.00
O1 0.0000 0.0000 0.0000  4 Ac 2.68, 2 Tl 2.96
O2 0.1306 0.6306 0.2498  1 Pd 2.00
O3 0.1306 0.6306 0.7502  1 Pd 2.00
O4 0.3694 0.1306 0.2498  1 Pd 2.00
O5 0.3694 0.1306 0.7502  1 Pd 2.00
O6 0.5000 0.5000 0.0000  4 Ac 2.68, 2 Tl 2.96
O7 0.6306 0.8694 0.2498  1 Pd 2.00
O8 0.6306 0.8694 0.7502  1 Pd 2.00
O9 0.8694 0.3694 0.2498  1 Pd 2.00
O10 0.8694 0.3694 0.7502  1 Pd 2.00

Computed properties:
- Uncorrected formation energy: -2.0267 eV/atom

---

[6]
VASP calculation (PBE-GGA) on a relaxed structure of AcOF3.

abc: 7.8967 3.9111 15.3071
angles: 90.00 119.97 90.00
Closest atoms and distances in Å follow each position.
Atoms (fractional coordinates):
Ac1 0.0332 0.2475 0.1335  8 F 2.43-2.62
Ac2 0.0332 0.2525 0.6335  8 F 2.43-2.62
Ac3 0.9668 0.7475 0.3665  8 F 2.43-2.62
Ac4 0.9668 0.7525 0.8665  8 F 2.43-2.62
O1 0.4582 0.6389 0.4905  1 O 1.23
O2 0.4582 0.8611 0.9905  1 O 1.23
O3 0.5418 0.1389 0.0095  1 O 1.23
O4 0.5418 0.3611 0.5095  1 O 1.23
F1 0.1221 0.2446 0.3169  3 Ac 2.53-2.62, 3 F 2.74-2.79
F2 0.1222 0.2484 0.4960  3 Ac 2.53-2.62, 3 F 2.74-2.80
F3 0.1222 0.2516 0.9960  3 Ac 2.53-2.62, 3 F 2.74-2.80
F4 0.1221 0.2554 0.8169  3 Ac 2.53-2.62, 3 F 2.74-2.79
F5 0.2437 0.7477 0.1879  2 Ac 2.43
F6 0.2437 0.7523 0.6879  2 Ac 2.43
F7 0.7563 0.2477 0.3121  2 Ac 2.43
F8 0.7563 0.2523 0.8121  2 Ac 2.43
F9 0.8779 0.7446 0.1831  3 Ac 2.53-2.62, 3 F 2.74-2.79
F10 0.8778 0.7484 0.0040  3 Ac 2.53-2.62, 3 F 2.74-2.80
F11 0.8778 0.7516 0.5040  3 Ac 2.53-2.62, 3 F 2.74-2.80
F12 0.8779 0.7554 0.6831  3 Ac 2.53-2.62, 3 F 2.74-2.79

Computed properties:
- Uncorrected formation energy: -3.2655 eV/atom

---

[7]
VASP calculation (PBE-GGA) on a relaxed structure of Th2ScRh9.

abc: 4.0810 4.0810 12.1250
angles: 90.00 90.00 90.00
Closest atoms and distances in Å follow each position.
Atoms (fractional coordinates):
Th1 0.0000 0.0000 0.1720  12 Rh 2.89-2.93
Th2 0.0000 0.0000 0.8280  12 Rh 2.89-2.93
Sc1 0.0000 0.0000 0.5000  12 Rh 2.77-2.89
Rh1 0.0000 0.5000 0.0000  8 Rh 2.89-2.92, 4 Th 2.92
Rh2 0.0000 0.5000 0.3460  2 Sc 2.77, 8 Rh 2.77-2.93, 2 Th 2.93
Rh3 0.0000 0.5000 0.6540  2 Sc 2.77, 8 Rh 2.77-2.93, 2 Th 2.93
Rh4 0.5000 0.0000 0.0000  8 Rh 2.89-2.92, 4 Th 2.92
Rh5 0.5000 0.0000 0.3460  2 Sc 2.77, 8 Rh 2.77-2.93, 2 Th 2.93
Rh6 0.5000 0.0000 0.6540  2 Sc 2.77, 8 Rh 2.77-2.93, 2 Th 2.93
Rh7 0.5000 0.5000 0.1728  4 Th 2.89, 8 Rh 2.92-2.93
Rh8 0.5000 0.5000 0.5000  8 Rh 2.77, 4 Sc 2.89
Rh9 0.5000 0.5000 0.8272  4 Th 2.89, 8 Rh 2.92-2.93

Computed properties:
- ΔH_f (0 K): -0.6755 eV/atom

---

[8]
VASP calculation (PBE-GGA) on a relaxed structure of LuMgTl.

abc: 7.0088 7.0088 7.0088
angles: 151.88 151.88 40.19
Closest atoms and distances in Å follow each position.
Atoms (fractional coordinates):
Lu1 0.0000 0.0000 0.0000  4 Tl 3.29, 4 Mg 3.33, 4 Lu 3.41
Mg1 0.6743 0.6743 0.0000  4 Tl 3.16, 4 Lu 3.33, 4 Mg 3.41
Tl1 0.3295 0.3295 0.0000  4 Mg 3.16, 4 Lu 3.29, 4 Tl 3.41

Computed properties:
- ΔH_f (0 K): -0.0986 eV/atom

---

[9]
VASP calculation (PBE-GGA) on a relaxed structure of Pu2PtO8.

abc: 5.6546 5.6705 5.8791
angles: 72.05 71.44 61.36
Closest atoms and distances in Å follow each position.
Atoms (fractional coordinates):
Pu1 0.2464 0.2702 0.3353  3 O 1.92-2.02
Pu2 0.7536 0.7298 0.6647  3 O 1.92-2.02
Pt1 0.0000 0.0000 0.0000  6 O 2.01-2.05
O1 0.1899 0.5883 0.0516  1 Pt 2.02, 1 Pu 2.02
O2 0.2051 0.5180 0.5219  1 Pu 1.92
O3 0.2425 0.0166 0.1752  1 Pu 1.96, 1 Pt 2.01
O4 0.2897 0.9708 0.6821  1 Pt 2.05, 2 Pu 2.21-2.29
O5 0.7103 0.0292 0.3179  1 Pt 2.05, 2 Pu 2.21-2.29
O6 0.7575 0.9834 0.8248  1 Pu 1.96, 1 Pt 2.01
O7 0.7949 0.4820 0.4781  1 Pu 1.92
O8 0.8101 0.4117 0.9484  1 Pt 2.02, 1 Pu 2.02

Computed properties:
- Uncorrected formation energy: -1.8022 eV/atom

---

[10]
VASP calculation (PBE-GGA) on a relaxed structure of Pu4SbPb.

abc: 6.2027 6.2027 6.2027
angles: 130.83 113.35 87.12
Closest atoms and distances in Å follow each position.
Atoms (fractional coordinates):
Pu1 0.0805 0.8338 0.2467  3 Pu 2.99
Pu2 0.4129 0.1662 0.2467  3 Pu 2.99
Pu3 0.5871 0.8338 0.7533  3 Pu 2.99
Pu4 0.9195 0.1662 0.7533  3 Pu 2.99
Sb1 0.0000 0.5000 0.5000  2 Pb 3.41, 12 Pu 3.42-3.46
Pb1 0.5000 0.5000 0.0000  2 Sb 3.41, 12 Pu 3.44-3.45

Computed properties:
- Uncorrected formation energy: -0.1056 eV/atom

---

[11]
VASP calculation (PBE-GGA) on a relaxed structure of Sr3CaRh.

abc: 6.9555 7.5266 8.0209
angles: 90.00 106.61 90.00
Closest atoms and distances in Å follow each position.
Atoms (fractional coordinates):
Sr1 0.0000 0.0007 0.2412  2 Rh 3.05-3.08
Sr2 0.0000 0.4993 0.2412  2 Rh 3.05-3.08
Sr3 0.0000 0.5007 0.7588  2 Rh 3.05-3.08
Sr4 0.0000 0.9993 0.7588  2 Rh 3.05-3.08
Sr5 0.4537 0.2500 0.1100  1 Rh 2.97
Sr6 0.5463 0.7500 0.8900  1 Rh 2.97
Ca1 0.4881 0.2500 0.6278  1 Rh 2.75
Ca2 0.5119 0.7500 0.3722  1 Rh 2.75
Rh1 0.2178 0.7500 0.0581  1 Ca 2.75, 5 Sr 2.97-3.08
Rh2 0.7822 0.2500 0.9419  1 Ca 2.75, 5 Sr 2.97-3.08

Computed properties:
- Polymorph energy (0 for the lowest one): 0.23 eV per formula unit
- ΔH_f (0 K): -0.1551 eV/atom

---

[12]
VASP calculation (PBE-GGA) on a relaxed structure of Pm5Nd4Sm3.

abc: 8.7422 8.7422 9.4664
angles: 114.37 114.37 40.55
Closest atoms and distances in Å follow each position.
Atoms (fractional coordinates):
Pm1 0.0000 0.0000 0.0000  4 Sm 3.03-3.13
Pm2 0.3275 0.3275 0.6106  4 Sm 3.28-3.56, 3 Nd 3.50-3.61
Pm3 0.4262 0.4262 0.3008  2 Sm 3.33-3.55, 1 Pm 3.47, 2 Nd 3.73
Pm4 0.5738 0.5738 0.6992  2 Sm 3.33-3.55, 1 Pm 3.47, 2 Nd 3.73
Pm5 0.6725 0.6725 0.3894  4 Sm 3.28-3.56, 3 Nd 3.50-3.61
Nd1 0.0826 0.0826 0.4416  2 Nd 3.35-3.73, 1 Sm 3.47, 3 Pm 3.50-3.61
Nd2 0.2137 0.2137 0.8783  3 Sm 3.34-3.60, 3 Nd 3.67-3.73, 2 Pm 3.73
Nd3 0.7863 0.7863 0.1217  3 Sm 3.34-3.60, 3 Nd 3.67-3.73, 2 Pm 3.73
Nd4 0.9174 0.9174 0.5584  2 Nd 3.35-3.73, 1 Sm 3.47, 3 Pm 3.50-3.61
Sm1 0.2081 0.2081 0.2270  3 Pm 3.13-3.33, 2 Nd 3.34-3.47
Sm2 0.5000 0.5000 0.0000  2 Pm 3.03
Sm3 0.7919 0.7919 0.7730  3 Pm 3.13-3.33, 2 Nd 3.34-3.47

Computed properties:
- Polymorph energy (0 for the lowest one): 2.27 eV per formula unit
- ΔH_f (0 K): 0.2014 eV/atom

---

Density of states at the Fermi level, respectively: 3.85; 4.05; 5.49; 4.26; 16.76; 0.00; 9.28; 2.40; 6.59; 19.97; 7.25; 20.22 states/eV per cell.
DFT total energy, respectively: -18.83; -38.94; -5.95; -10.74; -117.61; -124.03; -95.44; -8.78; -94.19; -65.79; -30.35; -54.56 eV per cell.